Density functional theory data (GGA-PBE) for a relaxed Sr3TbSm3S8 crystal.

a b c (Å): 8.3428 8.3428 8.3428
angles (deg): 58.33 58.33 58.33
Fractional positions:
Sr 0.0000 0.5000 0.5000
Sr 0.5000 0.0000 0.5000
Sr 0.5000 0.5000 0.0000
Tb 0.5000 0.5000 0.5000
Sm 0.0000 0.0000 0.5000
Sm 0.0000 0.5000 0.0000
Sm 0.5000 0.0000 0.0000
S 0.2453 0.2453 0.2453
S 0.2489 0.7389 0.7389
S 0.2611 0.2611 0.7511
S 0.2611 0.7511 0.2611
S 0.7389 0.2489 0.7389
S 0.7389 0.7389 0.2489
S 0.7511 0.2611 0.2611
S 0.7547 0.7547 0.7547

Computed properties:
Space group = R-3m, No. 166
D(E_F) = 4.69 states/eV/f.u.
Energy = -0.2159 Ha/atom
Theoretical density = 4.7 Mg/m³